# 1
{"formula": "Cd3AgPd", "functional": "PBE", "state": "optimized geometry", "cell": [[5.1525, 0.0000, 0.0000], [0.0000, 5.1525, 0.0000], [0.0000, 0.0000, 5.1525]], "species": ["Cd", "Cd", "Cd", "Ag", "Pd"], "frac_coords": [[0.0000, 0.0000, 0.5000], [0.0000, 0.5000, 0.0000], [0.5000, 0.0000, 0.0000], [0.5000, 0.5000, 0.5000], [0.0000, 0.0000, 0.0000]], "volume_a3_per_atom": 27.4, "density_g_cm3": 6.695, "spacegroup": "Pm-3m (221)", "energy_ev_per_cell": -9.7, "e_form_ev_per_fu": 1.07}

***

# 2
{"formula": "CeHgTeO6", "functional": "PBE", "state": "optimized geometry", "cell": [[5.7282, 0.0000, 0.0000], [-2.8641, 4.9608, 0.0000], [0.0000, 0.0000, 9.4251]], "species": ["Ce", "Ce", "Hg", "Hg", "Te", "Te", "O", "O", "O", "O", "O", "O", "O", "O", "O", "O", "O", "O"], "frac_coords": [[0.3333, 0.6667, 0.2500], [0.6667, 0.3333, 0.7500], [0.0000, 0.0000, 0.0000], [0.0000, 0.0000, 0.5000], [0.3333, 0.6667, 0.7500], [0.6667, 0.3333, 0.2500], [0.0413, 0.3858, 0.6363], [0.0413, 0.6556, 0.8637], [0.3444, 0.3858, 0.8637], [0.3444, 0.9587, 0.6363], [0.3858, 0.0413, 0.1363], [0.3858, 0.3444, 0.3637], [0.6142, 0.6556, 0.6363], [0.6142, 0.9587, 0.8637], [0.6556, 0.0413, 0.3637], [0.6556, 0.6142, 0.1363], [0.9587, 0.3444, 0.1363], [0.9587, 0.6142, 0.3637]], "volume_a3_per_atom": 14.9, "density_g_cm3": 6.997, "spacegroup": "P-31c (163)", "energy_ev_per_cell": -105.8, "formation_energy_uncorrected_mev_per_atom": -1528}

***

# 3
{"formula": "TbSmDy2P4", "functional": "PBE", "state": "optimized geometry", "cell": [[6.9918, 0.0000, 0.0000], [0.0000, 4.0394, 0.0000], [-2.3303, 0.0000, 6.5930]], "species": ["Tb", "Sm", "Dy", "Dy", "P", "P", "P", "P"], "frac_coords": [[0.0000, 0.0000, 0.0000], [0.0000, 0.5000, 0.5000], [0.5000, 0.0000, 0.5000], [0.5000, 0.5000, 0.0000], [0.2528, 0.5000, 0.2488], [0.2546, 0.0000, 0.7536], [0.7454, 0.0000, 0.2464], [0.7472, 0.5000, 0.7512]], "volume_a3_per_atom": 23.3, "density_g_cm3": 6.761, "spacegroup": "P2/m (10)", "energy_ev_per_cell": -53.0, "e_form_ev_per_fu": -12.81}

***

# 4
{"formula": "NbV3Sn", "functional": "PBE", "state": "optimized geometry", "cell": [[4.7448, 0.0000, 0.0000], [0.0000, 4.7448, 0.0000], [0.0000, 0.0000, 4.7448]], "species": ["Nb", "V", "V", "V", "Sn"], "frac_coords": [[0.0000, 0.0000, 0.0000], [0.0000, 0.5000, 0.5000], [0.5000, 0.0000, 0.5000], [0.5000, 0.5000, 0.0000], [0.5000, 0.5000, 0.5000]], "volume_a3_per_atom": 21.4, "density_g_cm3": 5.665, "spacegroup": "Pm-3m (221)", "energy_ev_per_cell": -32.7, "e_form_ev_per_fu": 8.68}

***

# 5
{"formula": "NaCaRu2", "functional": "PBE", "state": "optimized geometry", "cell": [[5.3322, -2.8617, 0.0000], [5.3322, 2.8617, 0.0000], [-0.7550, 0.0000, 5.5686]], "species": ["Na", "Na", "Ca", "Ca", "Ru", "Ru", "Ru", "Ru"], "frac_coords": [[0.0000, 0.0000, 0.0000], [0.5668, 0.5668, 0.2721], [0.4495, 0.4495, 0.7341], [0.8432, 0.8432, 0.4217], [0.1736, 0.1736, 0.5556], [0.2670, 0.2670, 0.1824], [0.5152, 0.9322, 0.8675], [0.9322, 0.5152, 0.8675]], "volume_a3_per_atom": 21.2, "density_g_cm3": 5.183, "spacegroup": "Cm (8)", "energy_ev_per_cell": -41.6, "e_form_ev_per_fu": 1.08}

***

# 6
{"formula": "Rb2Ca2Tl15", "functional": "PBE", "state": "optimized geometry", "cell": [[5.6171, 3.2430, 5.8583], [-5.6171, 3.2430, 5.8583], [0.0000, -6.4860, 5.8583]], "species": ["Rb", "Rb", "Ca", "Ca", "Tl", "Tl", "Tl", "Tl", "Tl", "Tl", "Tl", "Tl", "Tl", "Tl", "Tl", "Tl", "Tl", "Tl", "Tl"], "frac_coords": [[0.1517, 0.1517, 0.1517], [0.8483, 0.8483, 0.8483], [0.3942, 0.3942, 0.3942], [0.6058, 0.6058, 0.6058], [0.0000, 0.5000, 0.5000], [0.1359, 0.1359, 0.6403], [0.1359, 0.6403, 0.1359], [0.2145, 0.5000, 0.7855], [0.2145, 0.7855, 0.5000], [0.3597, 0.8641, 0.8641], [0.5000, 0.0000, 0.5000], [0.5000, 0.2145, 0.7855], [0.5000, 0.5000, 0.0000], [0.5000, 0.7855, 0.2145], [0.6403, 0.1359, 0.1359], [0.7855, 0.2145, 0.5000], [0.7855, 0.5000, 0.2145], [0.8641, 0.3597, 0.8641], [0.8641, 0.8641, 0.3597]], "volume_a3_per_atom": 33.7, "density_g_cm3": 8.602, "spacegroup": "R-3m (166)", "energy_ev_per_cell": -43.0, "e_form_ev_per_fu": -1.58}